[1]
Computed, not measured: an optimized crystal structure of CaY2Th at the GGA-PBE level of DFT.

Properties
E above lowest polymorph: 4 meV/atom
DFT formation energy: 0.2 eV/f.u.
Final energy: -5.545 eV/atom
Space group: P4/mmm, No. 123

a b c (Å): 3.6531 3.6531 10.3306
angles (deg): 90.00 90.00 90.00
Closest atoms and distances in Å follow each position.
Sites, in units of the cell vectors:
Ca 0.0000 0.0000 0.0000  4 Ca 3.65, 8 Y 3.83
Y 0.5000 0.5000 0.2737  4 Th 3.48, 4 Y 3.65, 4 Ca 3.83
Y 0.5000 0.5000 0.7263  4 Th 3.48, 4 Y 3.65, 4 Ca 3.83
Th 0.0000 0.0000 0.5000  8 Y 3.48, 4 Th 3.65

---

[2]
Computed, not measured: an optimized crystal structure of MgZn2Ni5B2 at the GGA-PBE level of DFT.

Properties
DFT formation energy: -1.8 eV/f.u.
Final energy: -4.823 eV/atom
Space group: P4/mbm, No. 127

a b c (Å): 8.7450 8.7450 2.9088
angles (deg): 90.00 90.00 90.00
Closest atoms and distances in Å follow each position.
Sites, in units of the cell vectors:
Mg 0.0000 0.0000 0.0000  8 Ni 2.54
Mg 0.5000 0.5000 0.0000  8 Ni 2.54
Zn 0.1791 0.3209 0.0000  3 B 2.47-2.67, 10 Ni 2.65-2.74
Zn 0.3209 0.8209 0.0000  3 B 2.47-2.67, 10 Ni 2.65-2.74
Zn 0.6791 0.1791 0.0000  3 B 2.47-2.67, 10 Ni 2.65-2.74
Zn 0.8209 0.6791 0.0000  3 B 2.47-2.67, 10 Ni 2.65-2.74
Ni 0.0000 0.5000 0.5000  4 B 2.09
Ni 0.0697 0.7723 0.5000  2 B 2.02
Ni 0.2277 0.0697 0.5000  2 B 2.02
Ni 0.2723 0.5697 0.5000  2 B 2.02
Ni 0.4303 0.2723 0.5000  2 B 2.02
Ni 0.5000 0.0000 0.5000  4 B 2.09
Ni 0.5697 0.7277 0.5000  2 B 2.02
Ni 0.7277 0.4303 0.5000  2 B 2.02
Ni 0.7723 0.9303 0.5000  2 B 2.02
Ni 0.9303 0.2277 0.5000  2 B 2.02
B 0.1209 0.6209 0.0000  6 Ni 2.02-2.09
B 0.3791 0.1209 0.0000  6 Ni 2.02-2.09
B 0.6209 0.8791 0.0000  6 Ni 2.02-2.09
B 0.8791 0.3791 0.0000  6 Ni 2.02-2.09

---

[3]
Computed, not measured: an optimized crystal structure of Nd3PaS4 at the GGA-PBE level of DFT.

Properties
Formation energy (no corrections): -1.89 eV per atom
Final energy: -6.928 eV/atom
Space group: P2/c, No. 13

a b c (Å): 6.9895 8.0209 6.9584
angles (deg): 90.00 109.31 90.00
Closest atoms and distances in Å follow each position.
Sites, in units of the cell vectors:
Nd 0.0000 0.1244 0.2500  6 S 2.84-2.89
Nd 0.0000 0.3726 0.7500  6 S 2.84-2.93
Nd 0.0000 0.6274 0.2500  6 S 2.84-2.93
Nd 0.0000 0.8756 0.7500  6 S 2.84-2.89
Nd 0.5000 0.3718 0.2500  6 S 2.83-2.86
Nd 0.5000 0.6282 0.7500  6 S 2.83-2.86
Pa 0.5000 0.1216 0.7500  6 S 2.78-2.80
Pa 0.5000 0.8784 0.2500  6 S 2.78-2.80
S 0.2564 0.3696 0.5065  1 Pa 2.80, 5 Nd 2.84-2.93
S 0.2564 0.6304 0.0065  1 Pa 2.80, 5 Nd 2.84-2.93
S 0.2577 0.1209 0.9991  2 Pa 2.78-2.80, 4 Nd 2.83-2.89
S 0.2577 0.8791 0.4991  2 Pa 2.78-2.80, 4 Nd 2.83-2.89
S 0.7423 0.1209 0.5009  2 Pa 2.78-2.80, 4 Nd 2.83-2.89
S 0.7423 0.8791 0.0009  2 Pa 2.78-2.80, 4 Nd 2.83-2.89
S 0.7436 0.3696 0.9935  1 Pa 2.80, 5 Nd 2.84-2.93
S 0.7436 0.6304 0.4935  1 Pa 2.80, 5 Nd 2.84-2.93

---

[4]
Computed, not measured: an optimized crystal structure of La6Ga2Ni at the GGA-PBE level of DFT.

Properties
E above lowest polymorph: 223 meV/atom
DFT formation energy: -1.1 eV/f.u.
Final energy: -4.725 eV/atom
Space group: P4_2/mnm, No. 136

a b c (Å): 7.3918 7.3918 11.5515
angles (deg): 90.00 90.00 90.00
Closest atoms and distances in Å follow each position.
Sites, in units of the cell vectors:
La 0.2037 0.2037 0.1731  1 Ni 2.92, 2 Ga 3.15-3.18
La 0.2037 0.2037 0.8269  1 Ni 2.92, 2 Ga 3.15-3.18
La 0.2495 0.2495 0.5000  1 Ni 2.62
La 0.2505 0.7495 0.0000  1 Ni 2.62
La 0.2963 0.7037 0.3269  1 Ni 2.92, 2 Ga 3.15-3.18
La 0.2963 0.7037 0.6731  1 Ni 2.92, 2 Ga 3.15-3.18
La 0.7037 0.2963 0.3269  1 Ni 2.92, 2 Ga 3.15-3.18
La 0.7037 0.2963 0.6731  1 Ni 2.92, 2 Ga 3.15-3.18
La 0.7495 0.2505 0.0000  1 Ni 2.62
La 0.7505 0.7505 0.5000  1 Ni 2.62
La 0.7963 0.7963 0.1731  1 Ni 2.92, 2 Ga 3.15-3.18
La 0.7963 0.7963 0.8269  1 Ni 2.92, 2 Ga 3.15-3.18
Ga 0.0000 0.0000 0.3777  1 Ga 2.82, 4 La 2.97-3.15
Ga 0.0000 0.0000 0.6223  1 Ga 2.82, 4 La 2.97-3.15
Ga 0.5000 0.5000 0.1223  1 Ga 2.82, 4 La 2.97-3.15
Ga 0.5000 0.5000 0.8777  1 Ga 2.82, 4 La 2.97-3.15
Ni 0.0000 0.0000 0.0000  6 La 2.62-2.92
Ni 0.5000 0.5000 0.5000  6 La 2.62-2.92

---

[5]
Computed, not measured: an optimized crystal structure of KPmCdSn at the GGA-PBE level of DFT.

Properties
DFT formation energy: -0.9 eV/f.u.
Final energy: -2.913 eV/atom
Space group: F-43m, No. 216

a b c (Å): 7.8858 7.8858 7.8858
angles (deg): 90.00 90.00 90.00
Closest atoms and distances in Å follow each position.
Sites, in units of the cell vectors:
K 0.0000 0.0000 0.0000  4 Sn 3.41, 4 Cd 3.41
K 0.0000 0.5000 0.5000  4 Sn 3.41, 4 Cd 3.41
K 0.5000 0.0000 0.5000  4 Sn 3.41, 4 Cd 3.41
K 0.5000 0.5000 0.0000  4 Sn 3.41, 4 Cd 3.41
Pm 0.0000 0.0000 0.5000  4 Cd 3.41, 4 Sn 3.41
Pm 0.0000 0.5000 0.0000  4 Cd 3.41, 4 Sn 3.41
Pm 0.5000 0.0000 0.0000  4 Cd 3.41, 4 Sn 3.41
Pm 0.5000 0.5000 0.5000  4 Cd 3.41, 4 Sn 3.41
Cd 0.2500 0.2500 0.2500  4 K 3.41, 4 Pm 3.41
Cd 0.2500 0.7500 0.7500  4 K 3.41, 4 Pm 3.41
Cd 0.7500 0.2500 0.7500  4 K 3.41, 4 Pm 3.41
Cd 0.7500 0.7500 0.2500  4 K 3.41, 4 Pm 3.41
Sn 0.2500 0.2500 0.7500  4 K 3.41, 4 Pm 3.41
Sn 0.2500 0.7500 0.2500  4 K 3.41, 4 Pm 3.41
Sn 0.7500 0.2500 0.2500  4 K 3.41, 4 Pm 3.41
Sn 0.7500 0.7500 0.7500  4 K 3.41, 4 Pm 3.41

---

[6]
Computed, not measured: an optimized crystal structure of OsPtSe2Br at the GGA-PBE level of DFT.

Properties
E above lowest polymorph: 0 meV/atom
Formation energy (no corrections): 1.05 eV per atom
Final energy: -4.132 eV/atom
Space group: P4/mmm, No. 123

a b c (Å): 4.7460 4.7460 5.2060
angles (deg): 90.00 90.00 90.00
Closest atoms and distances in Å follow each position.
Sites, in units of the cell vectors:
Os 0.0000 0.0000 0.0000  4 Se 2.37, 2 Br 2.60
Pt 0.5000 0.5000 0.5000  4 Br 3.36, 8 Se 3.52
Se 0.0000 0.5000 0.0000  2 Os 2.37
Se 0.5000 0.0000 0.0000  2 Os 2.37
Br 0.0000 0.0000 0.5000  2 Os 2.60

---

[7]
Computed, not measured: an optimized crystal structure of PmSm2Ag at the GGA-PBE level of DFT.

Properties
E above lowest polymorph: 119 meV/atom
DFT formation energy: 0.0 eV/f.u.
Final energy: -4.254 eV/atom
Space group: R3m, No. 160

a b c (Å): 3.6623 3.6623 31.8814
angles (deg): 90.00 90.00 120.00
Closest atoms and distances in Å follow each position.
Sites, in units of the cell vectors:
Pm 0.0000 0.0000 0.0000  6 Sm 3.64-3.66, 6 Pm 3.66
Pm 0.3333 0.6667 0.6667  6 Sm 3.64-3.66, 6 Pm 3.66
Pm 0.6667 0.3333 0.3333  6 Sm 3.64-3.66, 6 Pm 3.66
Sm 0.0000 0.0000 0.5739  3 Ag 3.15
Sm 0.0000 0.0000 0.7602  3 Ag 3.16
Sm 0.3333 0.6667 0.2406  3 Ag 3.15
Sm 0.3333 0.6667 0.4269  3 Ag 3.16
Sm 0.6667 0.3333 0.0935  3 Ag 3.16
Sm 0.6667 0.3333 0.9072  3 Ag 3.15
Ag 0.0000 0.0000 0.1673  6 Sm 3.15-3.16
Ag 0.3333 0.6667 0.8340  6 Sm 3.15-3.16
Ag 0.6667 0.3333 0.5006  6 Sm 3.15-3.16

---

[8]
Computed, not measured: an optimized crystal structure of HgAuF at the GGA-PBE level of DFT.

Properties
E above lowest polymorph: 211 meV/atom
Formation energy (no corrections): -0.43 eV per atom
Final energy: -2.246 eV/atom
Space group: P3m1, No. 156

a b c (Å): 4.4226 4.4226 3.0655
angles (deg): 90.00 90.00 120.00
Closest atoms and distances in Å follow each position.
Sites, in units of the cell vectors:
Hg 0.0000 0.0000 0.0000  6 F 2.97-2.98, 6 Au 2.98, 2 Hg 3.07
Au 0.3333 0.6667 0.4993  3 F 2.55
F 0.6667 0.3333 0.5021  3 Au 2.55